Entry 1:
DFT (PBEsol) results for a geometry-optimized HfTaSe2Br structure.

Cell lengths 4.937, 4.955, 4.955 Å; angles 90.00, 90.00, 90.00 degrees
Sites, in units of the cell vectors:
1 Hf 0.500 0.500 0.500
2 Se 0.000 0.000 0.500
3 Se 0.000 0.500 0.000
4 Br 0.500 0.000 0.000
5 Ta 0.000 0.000 0.000

Summary:
Magnetic moment   1.57 μB per cell
Relative energy among the computed polymorphs   0.00 eV per formula unit
Formation energy without anion corrections   0.35 eV/atom

---

Entry 2:
DFT (PBEsol) results for a geometry-optimized Rb2HgF4 structure.

Cell lengths 4.586, 4.586, 7.550 Å; angles 107.68, 107.68, 90.00 degrees
Sites, in units of the cell vectors:
1 Hg 0.000 0.000 0.000
2 Rb 0.360 0.360 0.719
3 Rb 0.640 0.640 0.281
4 F 0.500 0.000 0.000
5 F 0.000 0.500 0.000
6 F 0.164 0.164 0.329
7 F 0.836 0.836 0.671

Summary:
Magnetic moment   0.00 μB per cell
Formation energy without anion corrections   -2.18 eV/atom

---

Entry 3:
DFT (PBEsol) results for a geometry-optimized Cu3Si structure.

Cell lengths 2.626, 4.322, 4.322 Å; angles 109.49, 90.00, 90.00 degrees
Sites, in units of the cell vectors:
1 Si 0.000 0.000 0.000
2 Cu 0.500 0.000 0.500
3 Cu 0.500 0.500 0.000
4 Cu 0.000 0.500 0.500

Summary:
Magnetic moment   0.00 μB per cell
Formation energy without anion corrections   -0.04 eV/atom

---

Entry 4:
DFT (PBEsol) results for a geometry-optimized KZrCo2 structure.

Cell lengths 4.544, 4.544, 4.544 Å; angles 60.00, 60.00, 60.00 degrees
Sites, in units of the cell vectors:
1 Co 0.250 0.250 0.250
2 Co 0.750 0.750 0.750
3 K 0.500 0.500 0.500
4 Zr 0.000 0.000 0.000

Summary:
Magnetic moment   0.00 μB per cell
Energy relative to the elements   22.2 kcal/mol of atoms